Record 1
5
Lattice="-4.205 -0.857 2.576 2.556 -2.848 3.226 0.913 4.025 2.831" Properties=species:S:1:pos:R:3 comment="RbInB3, optimized geometry, DFT GGA-PBE" density_g_cm3=3.08 dft_energy_ev_per_fu=-7.9 n_ef_per_ev_fu=3.94 spacegroup="Pm-3m, No. 221" pbc="T T T"
Rb 0.000 0.000 0.000
B -2.103 -0.429 1.288
B 0.457 2.013 1.415
B 1.278 -1.424 1.613
In -0.368 0.160 4.316

***

Record 2
4
Lattice="7.278 -0.935 0.000 -3.864 6.238 0.000 0.000 0.000 3.580" Properties=species:S:1:pos:R:3 comment="K2LaFe, optimized geometry, DFT GGA-PBE" density_g_cm3=3.03 n_ef_per_ev_fu=7.01 e_above_lowest_polymorph_ev_per_atom=0.5286 spacegroup="Cmmm, No. 65" pbc="T T T"
Fe -1.932 3.119 1.790
La 3.639 -0.467 1.790
K 0.000 0.000 0.000
K 1.707 2.652 0.000

***

Record 3
16
Lattice="4.650 0.000 0.000 0.000 7.260 0.000 0.000 0.000 9.199" Properties=species:S:1:pos:R:3 comment="Ti4HSe3, optimized geometry, DFT GGA-PBE" density_g_cm3=4.59 dft_energy_ev_per_fu=-52.1 n_ef_per_ev_fu=7.45 spacegroup="Pmn2_1, No. 31" pbc="T T T"
H 2.631 6.408 4.599
H 0.307 0.852 0.000
Se 2.623 5.211 0.000
Se 2.624 1.959 7.102
Se 0.298 2.049 4.599
Se 0.299 5.301 2.503
Se 2.624 1.959 2.097
Se 0.299 5.301 6.696
Ti 0.298 6.255 0.000
Ti 0.299 0.788 2.173
Ti 0.299 0.788 7.025
Ti 2.622 0.613 0.000
Ti 0.297 6.647 4.599
Ti 2.623 1.006 4.599
Ti 2.624 6.473 6.773
Ti 2.624 6.473 2.426

***

Record 4
4
Lattice="3.614 0.000 0.000 1.807 3.130 0.000 1.807 1.043 12.338" Properties=species:S:1:pos:R:3 comment="PrSm2Pb, optimized geometry, DFT GGA-PBE" density_g_cm3=7.72 n_ef_per_ev_fu=3.74 e_above_lowest_polymorph_ev_per_atom=0.3716 spacegroup="R-3m, No. 166" pbc="T T T"
Sm 1.807 1.043 9.114
Sm 5.422 3.130 3.224
Pb 0.000 0.000 0.000
Pr 3.614 2.087 6.169

***

Record 5
5
Lattice="-0.284 2.312 3.426 -3.566 -1.872 0.968 2.088 -2.883 2.118" Properties=species:S:1:pos:R:3 comment="MgP3N, optimized geometry, DFT GGA-PBE" density_g_cm3=3.07 n_ef_per_ev_fu=3.53 e_above_lowest_polymorph_ev_per_atom=0.0000 spacegroup="Pm-3m, No. 221" e_form_raw_ev_per_atom=0.672 pbc="T T T"
P -1.783 -0.936 0.484
P -0.142 1.156 1.713
P 1.044 -1.441 1.059
Mg -0.881 -1.222 3.256
N 0.000 0.000 0.000

***

Record 6
20
Lattice="6.179 0.000 0.000 3.090 5.352 0.000 3.090 1.784 11.817" Properties=species:S:1:pos:R:3 comment="Ca2Zn6CuIr, optimized geometry, DFT GGA-PBE" density_g_cm3=6.19 dft_energy_ev_per_fu=-26.4 n_ef_per_ev_fu=6.59 spacegroup="R-3m, No. 166" pbc="T T T"
Ca 9.269 5.352 4.788
Ca 9.269 5.352 10.928
Ca 3.090 1.784 7.029
Ca 3.090 1.784 0.889
Zn 4.522 2.611 9.965
Zn 4.523 4.524 1.852
Zn 7.996 2.519 4.320
Zn 7.996 4.617 7.497
Zn 7.836 2.611 9.965
Zn 6.179 1.654 1.852
Zn 4.363 2.519 4.320
Zn 6.179 5.666 4.320
Zn 6.179 1.470 7.497
Zn 7.836 4.524 1.852
Zn 4.363 4.617 7.497
Zn 6.179 5.481 9.965
Cu 6.179 3.568 8.588
Cu 6.179 3.568 3.229
Ir 6.179 3.568 5.908
Ir 0.000 0.000 0.000